Below is an optimized crystal structure of Cu3SnAu3, with properties calculated at the GGA-PBE level.

Geometry as POSCAR:
```
Cu3SnAu3
1.0
6.933 0.000 0.000
0.000 6.933 0.000
0.000 0.000 6.933
Cu Sn Au
6 2 6
Direct
0.000 0.250 0.500
0.000 0.750 0.500
0.250 0.500 0.000
0.500 0.000 0.250
0.500 0.000 0.750
0.750 0.500 0.000
0.000 0.000 0.000
0.500 0.500 0.500
0.000 0.500 0.250
0.000 0.500 0.750
0.250 0.000 0.500
0.500 0.250 0.000
0.500 0.750 0.000
0.750 0.000 0.500
```

Summary:
- raw total energy (eV/atom) = -3.17
- mass density (Mg/m³) = 8.97
- crystal system = cubic
- calculated volume (Å³/cell) = 333.3
- total magnetic moment (μB per cell) = 0.00